Record 1
The following is a DFT calculation (PBE-GGA) of crystalline Sr3PbN at its relaxed geometry.

Cell: 6.942 7.280 7.632 Å, 98.09 101.83 62.72°
Sites, in units of the cell vectors:
N1 0.235 0.584 0.345
N2 0.629 0.728 0.185
Sr1 0.264 0.904 0.315
Pb1 0.958 0.289 0.628
Sr2 0.459 0.910 0.907
Sr3 0.000 0.530 0.065
Sr4 0.600 0.408 0.214
Sr5 0.404 0.401 0.622
Sr6 0.864 0.782 0.465
Pb2 0.905 0.023 0.901

Calculated values
* formation energy (no corrections): -527 meV per atom
* calculated density: 4.8 Mg/m³



Record 2
The following is a DFT calculation (PBE-GGA) of crystalline LiPaCr2Se6 at its relaxed geometry.

Cell: 6.635 6.635 7.088 Å, 62.09 62.09 60.00°
Sites, in units of the cell vectors:
Cr1 0.007 0.007 0.979
Se1 0.127 0.381 0.750
Li1 0.317 0.317 0.048
Pa1 0.819 0.820 0.542
Se2 0.741 0.127 0.750
Se3 0.251 0.894 0.240
Se4 0.894 0.616 0.240
Se5 0.616 0.251 0.240
Cr2 0.507 0.507 0.478
Se6 0.381 0.741 0.750

Calculated values
* formation energy (no corrections): -838 meV per atom
* calculated density: 6.0 Mg/m³



Record 3
The following is a DFT calculation (PBE-GGA) of crystalline Ac2CuAg3O6 at its relaxed geometry.

Cell: 6.365 6.365 6.375 Å, 83.82 83.82 118.17°
Sites, in units of the cell vectors:
O1 0.388 0.388 0.817
O2 0.767 0.030 0.837
Cu1 0.000 0.000 0.000
O3 0.030 0.767 0.837
Ac1 0.332 0.668 0.000
O4 0.612 0.612 0.183
O5 0.233 0.970 0.163
Ag1 0.129 0.871 0.500
Ac2 0.668 0.332 0.000
O6 0.970 0.233 0.163
Ag2 0.500 0.500 0.500
Ag3 0.871 0.129 0.500

Calculated values
* formation energy (no corrections): -1415 meV per atom
* calculated density: 7.0 Mg/m³



Record 4
The following is a DFT calculation (PBE-GGA) of crystalline MnFe4P at its relaxed geometry.

Cell: 4.683 4.683 4.683 Å, 60.00 60.00 60.00°
Sites, in units of the cell vectors:
Fe1 0.375 0.375 0.875
Fe2 0.375 0.875 0.375
P1 0.000 0.000 0.000
Fe3 0.875 0.375 0.375
Mn1 0.750 0.750 0.750
Fe4 0.375 0.375 0.375

Calculated values
* ΔH_f (0 K): 0.2529 eV per atom
* calculated density: 7.1 Mg/m³



Record 5
The following is a DFT calculation (PBE-GGA) of crystalline Tl2PbAu at its relaxed geometry.

Cell: 3.733 5.371 5.479 Å, 90.00 90.00 90.00°
Sites, in units of the cell vectors:
Tl1 0.500 0.500 0.000
Pb1 0.000 0.500 0.500
Tl2 0.000 0.000 0.000
Au1 0.500 0.000 0.500

Calculated values
* ΔH_f (0 K): 0.0575 eV per atom
* calculated density: 12.3 Mg/m³



Record 6
The following is a DFT calculation (PBE-GGA) of crystalline SrYOs4 at its relaxed geometry.

Cell: 5.415 5.415 5.415 Å, 60.00 60.00 60.00°
Sites, in units of the cell vectors:
Os1 0.375 0.375 0.375
Os2 0.375 0.375 0.876
Sr1 0.750 0.750 0.750
Os3 0.876 0.375 0.375
Y1 0.000 0.000 0.000
Os4 0.375 0.876 0.375

Calculated values
* ΔH_f (0 K): 0.1145 eV per atom
* calculated density: 13.9 Mg/m³



Record 7
The following is a DFT calculation (PBE-GGA) of crystalline KCd2Rh at its relaxed geometry.

Cell: 3.665 3.665 7.934 Å, 90.00 90.00 90.00°
Sites, in units of the cell vectors:
Rh1 0.500 0.500 0.843
Cd1 0.500 0.500 0.188
Cd2 0.000 0.000 0.943
K1 0.000 0.000 0.526

Calculated values
* ΔE to the lowest computed polymorph: 0.102 eV per atom
* ΔH_f (0 K): 0.1237 eV per atom
* calculated density: 5.7 Mg/m³



Record 8
The following is a DFT calculation (PBE-GGA) of crystalline Mn3SiH at its relaxed geometry.

Cell: 5.056 4.206 4.459 Å, 92.71 90.01 89.99°
Sites, in units of the cell vectors:
Mn1 0.795 0.675 0.643
H1 0.541 0.904 0.847
Mn2 0.288 0.675 0.643
Mn3 0.041 0.182 0.460
Si1 0.041 0.677 0.154
Si2 0.541 0.199 0.465
Mn4 0.788 0.201 0.977
Mn5 0.295 0.201 0.977
H2 0.041 0.972 0.772
Mn6 0.541 0.693 0.160

Calculated values
* ΔE to the lowest computed polymorph: 0.117 eV per atom
* calculated density: 6.8 Mg/m³



Record 9
The following is a DFT calculation (PBE-GGA) of crystalline Dy5TmBi5 at its relaxed geometry.

Cell: 6.255 7.623 8.819 Å, 106.91 90.00 114.22°
Sites, in units of the cell vectors:
Bi1 0.166 0.331 0.333
Dy1 0.662 0.325 0.826
Dy2 0.666 0.332 0.336
Bi2 0.169 0.337 0.835
Bi3 0.500 0.000 0.000
Tm1 0.000 0.000 0.000
Bi4 0.831 0.663 0.165
Dy3 0.334 0.668 0.664
Dy4 0.000 0.000 0.500
Dy5 0.338 0.675 0.174
Bi5 0.834 0.669 0.667

Calculated values
* ΔH_f (0 K): -0.6491 eV per atom
* calculated density: 9.3 Mg/m³



Record 10
The following is a DFT calculation (PBE-GGA) of crystalline CaY2Ru2 at its relaxed geometry.

Cell: 6.396 6.396 6.396 Å, 134.63 134.63 66.10°
Sites, in units of the cell vectors:
Y1 0.655 0.655 0.000
Y2 0.345 0.345 0.000
Ru1 0.250 0.750 0.500
Ru2 0.750 0.250 0.500
Ca1 0.000 0.000 0.000

Calculated values
* ΔE to the lowest computed polymorph: 0.370 eV per atom
* ΔH_f (0 K): 0.2267 eV per atom
* calculated density: 5.3 Mg/m³



Record 11
The following is a DFT calculation (PBE-GGA) of crystalline RbBa2CaTl at its relaxed geometry.

Cell: 6.917 6.917 6.284 Å, 90.00 90.00 90.00°
Sites, in units of the cell vectors:
Tl1 0.000 0.000 0.000
Ba1 0.500 0.000 0.000
Rb1 0.500 0.500 0.500
Ca1 0.000 0.000 0.500
Ba2 0.000 0.500 0.000

Calculated values
* ΔH_f (0 K): -0.0390 eV per atom
* calculated density: 3.3 Mg/m³



DFT total energy
In order: -3.943; -5.994; -5.633; -7.819; -2.872; -8.730; -2.446; -7.382; -4.912; -6.470; -1.875
Unit: eV/atom